(1)
Nd3Zn3Ni2: relaxed, PBE-GGA.

```
Nd3Zn3Ni2
1.0
7.736 0.000 0.000
0.000 15.638 0.000
0.000 0.000 5.553
Nd Zn Ni
12 12 8
Cartesian
0.273 1.652 0.634
0.273 6.167 0.634
1.266 3.909 3.476
2.602 11.728 0.700
3.595 9.471 3.410
3.595 13.986 3.410
4.142 1.652 2.142
4.142 6.167 2.142
5.134 3.909 4.853
6.470 11.728 2.077
7.463 9.471 4.919
7.463 13.986 4.919
1.327 0.556 3.335
1.327 7.263 3.335
1.387 11.728 3.427
2.481 3.909 0.650
2.541 8.375 0.559
2.541 15.082 0.559
5.195 0.556 4.994
5.195 7.263 4.994
5.255 11.728 4.902
6.349 3.909 2.126
6.409 8.375 2.218
6.409 15.082 2.218
0.921 9.544 2.104
0.921 13.913 2.104
2.947 1.725 4.880
2.947 6.094 4.880
4.789 9.544 0.673
4.789 13.913 0.673
6.815 1.725 3.449
6.815 6.094 3.449
```

Energy of formation from the pure elements: -32.55 kJ per mole of atoms
Symmetry: Pnma
Polymorph energy (0 for the lowest one): 4.9 meV/atom
Total magnetization: 0.00 μB/f.u.
ρ: 7.4 g cm⁻³
Raw total energy: -129.55 eV per cell

(2)
Tl2Cu3Br8: relaxed, PBE-GGA.

```
Tl2Cu3Br8
1.0
7.474 -4.420 0.000
7.474 4.420 0.000
-2.331 0.000 6.334
Tl Cu Br
2 3 8
Cartesian
2.787 0.000 2.508
9.831 0.000 3.826
6.309 2.871 3.167
7.474 0.000 0.000
6.309 -2.871 3.167
0.082 0.000 4.604
4.555 1.933 4.497
5.162 0.000 0.565
8.063 1.933 1.837
4.555 -1.933 4.497
7.455 0.000 5.769
8.063 -1.933 1.837
12.535 0.000 1.730
```

Symmetry: C2/m
Total magnetization: 0.85 μB/f.u.
Energy relative to the elements, uncorrected: -415 meV/atom
ρ: 4.9 g cm⁻³
Raw total energy: -35.80 eV per cell

(3)
Sm3Ge4Ru2: relaxed, PBE-GGA.

```
Sm3Ge4Ru2
1.0
5.487 -2.185 0.000
5.487 2.185 0.000
-2.744 0.000 7.845
Sm Ge Ru
3 4 2
Cartesian
0.000 0.000 0.000
3.335 0.000 2.374
4.895 0.000 5.471
-0.028 0.000 3.166
0.629 0.000 7.219
7.601 0.000 0.626
8.258 0.000 4.678
1.709 0.000 5.014
6.521 0.000 2.831
```

Energy of formation from the pure elements: -71.73 kJ per mole of atoms
Symmetry: C2/m
Total magnetization: 0.00 μB/f.u.
ρ: 8.3 g cm⁻³
Raw total energy: -57.87 eV per cell